# LaPu2MoO8

LaPu2MoO8 after structural relaxation (PBE+U, Alexandria).

a b c (Å): 5.044 7.013 5.046
angles (deg): 90.00 90.94 90.00
Space group P2/m (No. 10)
One atom of each set of equivalent atoms:
1 La 0.000 0.000 0.000 x1
2 Pu 0.500 0.259 0.500 x2
3 Mo 0.000 0.500 0.000 x1
4 O 0.198 0.281 0.200 x4
5 O 0.292 0.500 0.710 x2
6 O 0.327 0.000 0.676 x2

Output
Final energy in eV/atom: -9.399
ρ in g/cm³: 7.9